Record 1
Material: Ce2YNpAs4
Method: DFT, PBE-GGA
State: relaxed

## Properties
- magnetization (Bohr magnetons per cell) = 5.3
- energy (eV per atom) = -7.505
- energy relative to the elements (eV/atom) = -1.27
- volume (Å³/cell) = 204.4

abc: 4.169 7.227 7.197
angles: 109.47 90.00 90.00
Site moments in Bohr magnetons follow the coordinates.
Fractional coordinates of all 8 atoms:
Ce 0.500 0.000 0.500  0.63
Ce 0.000 0.500 0.500  0.63
Np 0.500 0.500 0.000  3.73
As 0.000 0.253 0.757  -0.06
As 0.000 0.747 0.243  -0.06
As 0.500 0.250 0.245  -0.04
As 0.500 0.750 0.755  -0.04
Y 0.000 0.000 0.000  0.02

=====

Record 2
Material: CeZrNp2As4
Method: DFT, PBE-GGA
State: relaxed

## Properties
- magnetization (Bohr magnetons per cell) = 8.6
- energy (eV per atom) = -8.355
- energy relative to the elements (eV/atom) = -0.98
- volume (Å³/cell) = 191.2

abc: 4.070 7.083 7.029
angles: 109.32 90.00 90.00
Site moments in Bohr magnetons follow the coordinates.
Fractional coordinates of all 8 atoms:
Np 0.000 0.500 0.500  3.85
Np 0.500 0.000 0.500  3.69
As 0.500 0.763 0.757  -0.06
As 0.000 0.761 0.249  -0.06
As 0.000 0.239 0.751  -0.06
As 0.500 0.237 0.243  -0.06
Zr 0.000 0.000 0.000  0.05
Ce 0.500 0.500 0.000  0.58

=====

Record 3
Material: Ce4As3O
Method: DFT, PBE-GGA
State: relaxed

## Properties
- uncorrected formation energy (eV per atom) = -1.6548
- magnetization (Bohr magnetons per cell) = 6.9
- energy (eV per atom) = -6.985
- volume (Å³/cell) = 405.2

abc: 5.917 5.917 11.574
angles: 90.00 90.00 90.00
Site moments in Bohr magnetons follow the coordinates.
Fractional coordinates of all 16 atoms:
Ce 0.123 0.750 0.500  0.75
Ce 0.623 0.250 0.000  0.75
Ce 0.563 0.193 0.500  0.75
Ce 0.565 0.752 0.741  0.74
Ce 0.065 0.248 0.241  0.74
Ce 0.065 0.248 0.759  0.74
Ce 0.565 0.752 0.259  0.74
Ce 0.063 0.807 0.000  0.75
As 0.065 0.249 0.500  -0.03
As 0.566 0.253 0.250  -0.03
As 0.566 0.253 0.750  -0.03
As 0.565 0.751 0.000  -0.03
As 0.066 0.747 0.750  -0.03
As 0.066 0.747 0.250  -0.03
O 0.002 0.186 0.000  -0.03
O 0.502 0.814 0.500  -0.03

=====

Record 4
Material: Ce3AsO4
Method: DFT, PBE-GGA
State: relaxed

## Properties
- uncorrected formation energy (eV per atom) = -3.0156
- magnetization (Bohr magnetons per cell) = 1.1
- energy (eV per atom) = -8.301
- volume (Å³/cell) = 135.5

abc: 3.891 3.891 8.947
angles: 90.00 90.00 90.00
Site moments in Bohr magnetons follow the coordinates.
Fractional coordinates of all 8 atoms:
Ce 0.000 0.000 0.000  0.47
Ce 0.500 0.500 0.708  0.38
Ce 0.500 0.500 0.292  0.38
O 0.500 0.000 0.157  -0.02
O 0.000 0.500 0.843  -0.02
O 0.500 0.000 0.843  -0.02
O 0.000 0.500 0.157  -0.02
As 0.000 0.000 0.500  -0.05

=====

Record 5
Material: CeAsO4
Method: DFT, PBE-GGA
State: relaxed

## Properties
- uncorrected formation energy (eV per atom) = -2.1965
- magnetization (Bohr magnetons per cell) = 2.0
- energy (eV per atom) = -7.266
- volume (Å³/cell) = 178.3

abc: 5.753 8.129 6.271
angles: 130.40 117.30 90.00
Site moments in Bohr magnetons follow the coordinates.
Fractional coordinates of all 12 atoms:
O 0.718 0.211 0.922  -0.01
O 0.796 0.789 0.078  -0.01
O 0.303 0.732 0.605  0.00
O 0.204 0.211 0.922  -0.01
O 0.282 0.789 0.078  -0.01
O 0.697 0.268 0.395  0.00
O 0.303 0.373 0.605  0.00
O 0.697 0.627 0.395  0.00
Ce 0.000 0.500 0.000  0.96
Ce 0.000 0.000 0.000  0.96
As 0.579 0.329 0.158  0.01
As 0.421 0.671 0.842  0.01

=====

Record 6
Material: Ce3As2O2
Method: DFT, PBE-GGA
State: relaxed

## Properties
- uncorrected formation energy (eV per atom) = -2.2147
- magnetization (Bohr magnetons per cell) = 2.0
- energy (eV per atom) = -7.503
- volume (Å³/cell) = 161.9

abc: 4.121 6.719 6.470
angles: 106.59 108.57 90.00
Site moments in Bohr magnetons follow the coordinates.
Fractional coordinates of all 7 atoms:
As 0.613 0.797 0.227  -0.04
As 0.387 0.203 0.773  -0.04
O 0.837 0.604 0.675  -0.03
O 0.163 0.396 0.325  -0.03
Ce 0.306 0.742 0.611  0.76
Ce 0.000 0.500 0.000  0.47
Ce 0.694 0.258 0.389  0.76

=====

Record 7
Material: Ce2As2O
Method: DFT, PBE-GGA
State: relaxed

## Properties
- uncorrected formation energy (eV per atom) = -1.8481
- magnetization (Bohr magnetons per cell) = 1.2
- energy (eV per atom) = -7.073
- volume (Å³/cell) = 223.5

abc: 4.151 7.157 7.804
angles: 90.00 105.42 90.00
Site moments in Bohr magnetons follow the coordinates.
Fractional coordinates of all 10 atoms:
Ce 0.835 0.030 0.670  0.46
Ce 0.165 0.530 0.330  0.46
Ce 0.456 0.393 0.913  0.12
Ce 0.544 0.893 0.087  0.12
As 0.054 0.189 0.107  0.00
As 0.946 0.689 0.893  0.00
As 0.190 0.946 0.380  -0.01
As 0.810 0.446 0.620  -0.01
O 0.402 0.076 0.804  -0.02
O 0.598 0.576 0.196  -0.02

=====

Record 8
Material: Ce3AsO
Method: DFT, PBE-GGA
State: relaxed

## Properties
- uncorrected formation energy (eV per atom) = -1.5297
- magnetization (Bohr magnetons per cell) = 0.0
- energy (eV per atom) = -7.012
- volume (Å³/cell) = 106.7

abc: 4.744 4.744 4.744
angles: 90.00 90.00 90.00
Fractional coordinates of all 5 atoms:
Ce 0.000 0.500 0.000
Ce 0.500 0.000 0.000
Ce 0.000 0.000 0.500
As 0.500 0.500 0.500
O 0.000 0.000 0.000

=====

Record 9
Material: Ce4As2O
Method: DFT, PBE-GGA
State: relaxed

## Properties
- uncorrected formation energy (eV per atom) = -1.4784
- magnetization (Bohr magnetons per cell) = 2.1
- energy (eV per atom) = -6.906
- volume (Å³/cell) = 165.7

abc: 4.591 4.591 8.505
angles: 105.66 105.66 90.00
Site moments in Bohr magnetons follow the coordinates.
Fractional coordinates of all 7 atoms:
Ce 0.500 0.000 0.000  0.04
Ce 0.830 0.830 0.660  0.81
Ce 0.170 0.170 0.340  0.81
Ce 0.000 0.500 0.000  0.04
O 0.000 0.000 0.000  -0.01
As 0.638 0.638 0.276  -0.02
As 0.362 0.362 0.724  -0.02

=====

Record 10
Material: Ce2AsO2
Method: DFT, PBE-GGA
State: relaxed

## Properties
- uncorrected formation energy (eV per atom) = -2.6482
- magnetization (Bohr magnetons per cell) = 2.1
- energy (eV per atom) = -7.935
- volume (Å³/cell) = 193.5

abc: 6.222 6.222 6.412
angles: 111.04 111.04 105.06
Site moments in Bohr magnetons follow the coordinates.
Fractional coordinates of all 10 atoms:
As 0.875 0.625 0.750  -0.04
As 0.125 0.375 0.250  -0.04
O 0.494 0.744 0.987  -0.02
O 0.506 0.256 0.013  -0.02
O 0.756 0.006 0.513  -0.02
O 0.244 0.994 0.487  -0.02
Ce 0.826 0.674 0.250  0.54
Ce 0.174 0.326 0.750  0.54
Ce 0.576 0.924 0.750  0.54
Ce 0.424 0.076 0.250  0.54

=====

Record 11
Material: Ce4AsO5
Method: DFT, PBE-GGA
State: relaxed

## Properties
- uncorrected formation energy (eV per atom) = -2.7528
- magnetization (Bohr magnetons per cell) = 5.9
- energy (eV per atom) = -8.070
- volume (Å³/cell) = 392.5

abc: 5.621 7.346 9.505
angles: 90.00 90.00 90.00
Site moments in Bohr magnetons follow the coordinates.
Fractional coordinates of all 20 atoms:
O 0.767 0.246 0.312  -0.03
O 0.767 0.246 0.688  -0.03
O 0.767 0.754 0.688  -0.03
O 0.233 0.746 0.188  -0.03
O 0.233 0.746 0.812  -0.03
O 0.713 0.500 0.000  -0.02
O 0.767 0.754 0.312  -0.03
O 0.287 0.000 0.500  -0.02
O 0.233 0.254 0.812  -0.03
O 0.233 0.254 0.188  -0.03
Ce 0.542 0.246 0.500  0.69
Ce 0.030 0.000 0.719  0.63
Ce 0.970 0.500 0.781  0.63
Ce 0.970 0.500 0.219  0.63
Ce 0.458 0.746 0.000  0.69
Ce 0.542 0.754 0.500  0.69
Ce 0.030 0.000 0.281  0.63
Ce 0.458 0.254 0.000  0.69
As 0.159 0.500 0.500  -0.04
As 0.841 0.000 0.000  -0.04

=====

Record 12
Material: CeAsO4
Method: DFT, PBE-GGA
State: relaxed

## Properties
- uncorrected formation energy (eV per atom) = -2.2535
- magnetization (Bohr magnetons per cell) = 4.0
- energy (eV per atom) = -7.323
- volume (Å³/cell) = 336.2

abc: 7.232 6.825 8.429
angles: 53.91 90.00 90.00
Site moments in Bohr magnetons follow the coordinates.
Fractional coordinates of all 24 atoms:
O 0.395 0.651 0.518  -0.01
O 0.343 0.896 0.107  0.00
O 0.005 0.169 0.756  0.00
O 0.288 0.396 0.883  -0.01
O 0.157 0.896 0.607  0.00
O 0.995 0.831 0.244  0.00
O 0.843 0.104 0.393  0.00
O 0.105 0.651 0.018  -0.01
O 0.505 0.831 0.744  0.00
O 0.212 0.396 0.383  -0.01
O 0.788 0.604 0.617  -0.01
O 0.657 0.104 0.893  0.00
O 0.895 0.349 0.982  -0.01
O 0.605 0.349 0.482  -0.01
O 0.495 0.169 0.256  0.00
O 0.712 0.604 0.117  -0.01
Ce 0.848 0.811 0.785  0.96
Ce 0.348 0.189 0.715  0.96
Ce 0.652 0.811 0.285  0.96
Ce 0.152 0.189 0.215  0.96
As 0.838 0.307 0.804  0.01
As 0.338 0.693 0.696  0.01
As 0.162 0.693 0.196  0.01
As 0.662 0.307 0.304  0.01